Entry 1:
Compound: Rb4FeSbCl12
Source: the Alexandria database
Functional: GGA-PBEsol
Structure: relaxed

Cell: 6.9703 6.9703 10.0430 Å, 90.00 90.00 90.00°
With the nearest neighbours (Å) after each atom.
Fractional coordinates of all 18 atoms:
Rb 0.0000 0.5000 0.2331  12 Cl 3.41-3.64
Rb 0.0000 0.5000 0.7669  12 Cl 3.41-3.64
Rb 0.5000 0.0000 0.2331  12 Cl 3.41-3.64
Rb 0.5000 0.0000 0.7669  12 Cl 3.41-3.64
Fe 0.0000 0.0000 0.0000  6 Cl 2.24
Sb 0.5000 0.5000 0.5000  6 Cl 2.47-2.49
Cl 0.0000 0.0000 0.2228  1 Fe 2.24
Cl 0.0000 0.0000 0.7772  1 Fe 2.24
Cl 0.2277 0.2277 0.0000  1 Fe 2.24
Cl 0.2277 0.7723 0.0000  1 Fe 2.24
Cl 0.2498 0.2498 0.5000  1 Sb 2.47
Cl 0.2498 0.7502 0.5000  1 Sb 2.47
Cl 0.5000 0.5000 0.2525  1 Sb 2.49
Cl 0.5000 0.5000 0.7475  1 Sb 2.49
Cl 0.7502 0.2498 0.5000  1 Sb 2.47
Cl 0.7502 0.7502 0.5000  1 Sb 2.47
Cl 0.7723 0.2277 0.0000  1 Fe 2.24
Cl 0.7723 0.7723 0.0000  1 Fe 2.24

Results
Final energy (eV/atom): -3.6169

---

Entry 2:
Compound: FeIrCl2
Source: the Alexandria database
Functional: GGA-PBEsol
Structure: relaxed

Cell: 4.3645 4.3645 3.0291 Å, 90.00 90.00 90.00°
With the nearest neighbours (Å) after each atom.
Fractional coordinates of all 4 atoms:
Fe 0.0000 0.0000 0.0000  8 Cl 2.66
Ir 0.5000 0.5000 0.0000  8 Cl 2.66
Cl 0.0000 0.5000 0.5000  4 Fe 2.66, 4 Ir 2.66
Cl 0.5000 0.0000 0.5000  4 Fe 2.66, 4 Ir 2.66

Results
Final energy (eV/atom): -4.8691

---

Entry 3:
Compound: TlInCl3
Source: the Alexandria database
Functional: GGA-PBEsol
Structure: relaxed

Cell: 7.5397 7.5470 7.5756 Å, 60.20 60.19 60.09°
With the nearest neighbours (Å) after each atom.
Fractional coordinates of all 10 atoms:
Tl 0.0000 0.0000 0.0000  6 Cl 3.16-3.25
Tl 0.4911 0.4912 0.5262  6 Cl 3.19-3.22
In 0.2130 0.2126 0.3612  6 Cl 2.95-3.06
In 0.7074 0.7072 0.8777  6 Cl 2.51-2.55
Cl 0.0227 0.8455 0.6567  1 In 2.51
Cl 0.3831 0.5751 0.1278  1 In 2.55
Cl 0.4758 0.0219 0.6560  1 In 2.51
Cl 0.5749 0.9129 0.1284  1 In 2.55
Cl 0.8461 0.4752 0.6561  1 In 2.52
Cl 0.9127 0.3838 0.1284  1 In 2.55

Results
Final energy (eV/atom): -3.2933

---

Entry 4:
Compound: Li2CaCr
Source: the Alexandria database
Functional: GGA-PBEsol
Structure: relaxed

Cell: 3.2364 5.0555 5.6644 Å, 90.00 96.45 90.00°
With the nearest neighbours (Å) after each atom.
Fractional coordinates of all 4 atoms:
Li 0.2274 0.0000 0.2926  2 Li 2.78-2.91, 2 Cr 2.92
Li 0.7726 0.0000 0.7074  2 Li 2.78-2.91, 2 Cr 2.92
Ca 0.5000 0.5000 0.0000  4 Cr 3.10-3.42, 4 Li 3.20, 2 Ca 3.24
Cr 0.0000 0.5000 0.5000  4 Li 2.92, 2 Ca 3.10, 2 Cr 3.24

Results
E_form (eV/atom): 0.5249